The following is a PBE with a Hubbard U calculation of crystalline CaBeCr2O6 at its relaxed geometry, from the Alexandria database.

For the total energy, the calculation gives -7.0104 eV/atom. Its crystal system is triclinic.

Unit cell a=5.146 b=5.203 c=5.321 alpha=93.15 beta=118.66 gamma=112.27
Space group P1 (No. 1)
Unique sites:
Ca 0.000 0.000 0.000 [1 per cell]
Be 0.756 0.266 0.452 [1 per cell]
Cr 0.501 0.729 0.279 [1 per cell]
Cr 0.524 0.299 0.796 [1 per cell]
O 0.074 0.183 0.573 [1 per cell]
O 0.078 0.478 0.080 [1 per cell]
O 0.516 0.086 0.099 [1 per cell]
O 0.544 0.010 0.573 [1 per cell]
O 0.634 0.631 0.045 [1 per cell]
O 0.681 0.525 0.553 [1 per cell]